# 1
Entry from the Alexandria database: a relaxed structure of Zr4CrIr (PBE-GGA).

Cell: 7.888 7.888 7.888 Å, 90.00 90.00 90.00°
Space group F-43m (No. 216)
Inequivalent atoms, fractional coordinates:
Zr 0.124 0.124 0.376 [16 per cell]
Cr 0.000 0.000 0.000 [4 per cell]
Ir 0.250 0.250 0.750 [4 per cell]

Formation energy from the elements ... 0.52 eV/atom
DOS(E_F) ... 1.451 states/eV per atom
E_tot ... -8.263 eV per atom
Total moment ... 4.05 μB per formula unit



# 2
Entry from the Alexandria database: a relaxed structure of Zr2CrIr (PBE-GGA).

Cell: 4.174 4.174 18.477 Å, 90.00 90.00 90.00°
Space group I-42d (No. 122)
Inequivalent atoms, fractional coordinates:
Zr 0.246 0.250 0.125 [8 per cell]
Cr 0.000 0.000 0.500 [4 per cell]
Ir 0.000 0.000 0.000 [4 per cell]

Formation energy from the elements ... 0.44 eV/atom
Distance to the lowest polymorph of the same formula ... 78.6 kJ/mol of atoms
DOS(E_F) ... 0.969 states/eV per atom
E_tot ... -8.457 eV per atom
Total moment ... 3.28 μB per formula unit